Here is an optimized crystal structure of BaTaCl2 from Alexandria via LeMat-Bulk. Energies are from GGA-PBE.

The structure in extended XYZ format:
```
4
Lattice="4.1036 -1.6880 0.0000 4.1036 1.6880 0.0000 -1.3975 0.0000 6.5308" Properties=species:S:1:pos:R:3 pbc="T T T"
Ba 0.0000 0.0000 0.0000
Ta 3.4048 0.0000 3.2654
Cl 0.9716 0.0000 4.4416
Cl 5.8381 0.0000 2.0892
```

* density: 7.143 g/cm³
* excess energy over the best structure of this formula in the dataset: 148.0 meV per atom